Material: LiSnMo2C
Method: DFT, GGA-PBE
State: relaxed

Cell: 4.118 4.118 4.832 Å, 90.00 90.00 90.00°
Space group P4/mmm (No. 123)
One atom of each set of equivalent atoms:
Li 0.000 0.000 0.000 x1
Sn 0.500 0.500 0.000 x1
Mo 0.000 0.500 0.500 x2
C 0.500 0.500 0.500 x1

Calculated values
Formation energy = 12.91 kcal/mol of atoms
Calculated volume = 82 Å³/cell
Energy = -6.801 eV per atom